The following is a PBE with a Hubbard U calculation of a geometry-optimized MgCr2O4 structure, from Alexandria via LeMat-Bulk.

abc: 5.942 5.942 14.857
angles: 93.72 93.72 60.87
Positions (direct):
Mg (0.000, 0.000, 0.000)
Mg (0.170, 0.170, 0.834)
Mg (0.341, 0.341, 0.667)
Mg (0.502, 0.502, 0.126)
Mg (0.511, 0.511, 0.500)
Mg (0.680, 0.680, 0.333)
Cr (0.000, 0.503, 0.000)
Cr (0.179, 0.179, 0.205)
Cr (0.183, 0.183, 0.461)
Cr (0.184, 0.680, 0.333)
Cr (0.340, 0.840, 0.666)
Cr (0.500, 0.500, 0.874)
Cr (0.503, 0.000, 0.000)
Cr (0.680, 0.184, 0.333)
Cr (0.840, 0.340, 0.666)
Cr (0.840, 0.840, 0.539)
Cr (0.840, 0.840, 0.793)
Cr (0.842, 0.842, 0.164)
O (0.002, 0.002, 0.258)
O (0.013, 0.013, 0.737)
O (0.023, 0.489, 0.750)
O (0.138, 0.690, 0.083)
O (0.161, 0.161, 0.592)
O (0.183, 0.183, 0.074)
O (0.191, 0.657, 0.582)
O (0.318, 0.850, 0.917)
O (0.329, 0.329, 0.929)
O (0.354, 0.354, 0.403)
O (0.362, 0.833, 0.417)
O (0.489, 0.023, 0.750)
O (0.505, 0.505, 0.261)
O (0.520, 0.520, 0.741)
O (0.534, 0.998, 0.248)
O (0.657, 0.191, 0.582)
O (0.669, 0.669, 0.596)
O (0.683, 0.683, 0.077)
O (0.690, 0.138, 0.083)
O (0.819, 0.819, 0.924)
O (0.833, 0.362, 0.417)
O (0.850, 0.318, 0.917)
O (0.860, 0.860, 0.407)
O (0.998, 0.534, 0.248)

Calculated values
electronic total energy = -7.28 eV per atom
space group = Cm